[1]
## LiCa3Ac4Te8 (PBE)

Data for an optimized crystal structure of LiCa3Ac4Te8.

Computed properties:
**Formation energy from raw total energies**: -1.501 eV per atom
**Magnetic moment**: 0.0 Bohr magnetons per cell
**Uncorrected energy**: -73.50 eV per cell

Lattice parameters (Å, degrees): 9.2089 9.2434 9.2090 119.88 120.00 90.00
Fractional coordinates of all 16 atoms:
Ca1 0.0000 0.5000 0.5000
Ca2 0.5000 0.5000 0.5000
Ac1 0.5000 0.0000 0.0000
Te1 0.7439 0.7318 0.4878
Te2 0.2414 0.7301 0.4829
Ac2 0.0000 0.0000 0.5000
Te3 0.7586 0.2699 0.5171
Li1 0.0000 0.5000 0.0000
Te4 0.2561 0.2682 0.5122
Te5 0.7586 0.2699 0.0113
Te6 0.7473 0.7301 0.9887
Ca3 0.5000 0.5000 0.0000
Ac3 0.0000 0.0000 0.0000
Ac4 0.5000 0.0000 0.5000
Te7 0.2527 0.2699 0.0113
Te8 0.2414 0.7301 0.9887

[2]
## LiCa2AcTl4 (PBE)

Data for an optimized crystal structure of LiCa2AcTl4.

Computed properties:
**Magnetic moment**: 0.0 Bohr magnetons per cell
**Uncorrected energy**: -22.25 eV per cell
**Formation energy from the elements**: -0.345 eV per atom

Lattice parameters (Å, degrees): 5.4237 5.4237 9.9100 74.12 74.12 60.00
Fractional coordinates of all 8 atoms:
Tl1 0.8739 0.8739 0.3782
Tl2 0.6107 0.6107 0.1678
Tl3 0.3893 0.3893 0.8322
Ca1 0.2419 0.2419 0.2743
Tl4 0.1261 0.1261 0.6218
Ca2 0.7581 0.7581 0.7257
Li1 0.5000 0.5000 0.5000
Ac1 0.0000 0.0000 0.0000

[3]
## LiCaAc2Tl4 (PBE)

Data for an optimized crystal structure of LiCaAc2Tl4.

Computed properties:
**Magnetic moment**: 0.0 Bohr magnetons per cell
**Uncorrected energy**: -24.47 eV per cell
**Formation energy from the elements**: -0.359 eV per atom

Lattice parameters (Å, degrees): 5.6153 5.6153 9.7446 73.25 73.25 60.00
Fractional coordinates of all 8 atoms:
Tl1 0.1260 0.1260 0.6219
Tl2 0.6230 0.6230 0.1310
Tl3 0.3770 0.3770 0.8690
Tl4 0.8740 0.8740 0.3781
Ac1 0.2476 0.2476 0.2571
Ca1 0.0000 0.0000 0.0000
Ac2 0.7524 0.7524 0.7429
Li1 0.5000 0.5000 0.5000

[4]
## Li2CaAc2Tl5 (PBE)

Data for an optimized crystal structure of Li2CaAc2Tl5.

Computed properties:
**Magnetic moment**: 0.0 Bohr magnetons per cell
**Uncorrected energy**: -58.51 eV per cell
**Formation energy from the elements**: -0.338 eV per atom

Lattice parameters (Å, degrees): 4.4512 11.2189 11.2189 90.00 90.00 90.00
Fractional coordinates of all 20 atoms:
Tl1 0.5000 0.7147 0.4331
Li1 0.0000 0.6123 0.8877
Ac1 0.0000 0.1802 0.3198
Tl2 0.5000 0.5000 0.0000
Ca1 0.0000 0.5000 0.5000
Tl3 0.5000 0.2147 0.0669
Tl4 0.5000 0.4331 0.2853
Ac2 0.0000 0.3198 0.8198
Tl5 0.5000 0.0000 0.5000
Tl6 0.5000 0.0669 0.7853
Ac3 0.0000 0.6802 0.1802
Li2 0.0000 0.1123 0.6123
Li3 0.0000 0.8877 0.3877
Ca2 0.0000 0.0000 0.0000
Tl7 0.5000 0.7853 0.9331
Tl8 0.5000 0.5669 0.7147
Li4 0.0000 0.3877 0.1123
Tl9 0.5000 0.2853 0.5669
Tl10 0.5000 0.9331 0.2147
Ac4 0.0000 0.8198 0.6802